[1]
A plane-wave DFT calculation with PBE was carried out for a geometry-optimized Sm2Dy5YEr structure.

Unit cell a=8.6145 b=8.6145 c=9.9187 alpha=115.74 beta=115.74 gamma=90.00
Closest atoms and distances in Å follow each position.
Sites, in units of the cell vectors:
Dy 0.0719 0.5719 0.7213  1 Sm 3.02, 1 Er 3.10
Sm 0.1177 0.3823 0.0000  1 Sm 2.87, 2 Dy 3.02
Dy 0.5000 0.5000 0.0000  4 Sm 3.45, 8 Dy 3.78
Dy 0.8506 0.9281 0.2787  1 Sm 3.02, 1 Er 3.10
Sm 0.8823 0.6177 0.0000  1 Sm 2.87, 2 Dy 3.02
Dy 0.3506 0.8506 0.2787  1 Sm 3.02, 1 Er 3.10
Sm 0.6177 0.1177 0.0000  1 Sm 2.87, 2 Dy 3.02
Dy 0.6494 0.1494 0.7213  1 Sm 3.02, 1 Er 3.10
Er 0.2500 0.7500 0.5000  4 Dy 3.10
Dy 0.4281 0.3506 0.2787  1 Sm 3.02, 1 Er 3.10
Er 0.7500 0.2500 0.5000  4 Dy 3.10
Dy 0.0000 0.0000 0.0000  4 Sm 3.45, 8 Dy 3.78
Dy 0.1494 0.0719 0.7213  1 Sm 3.02, 1 Er 3.10
Y 0.2500 0.2500 0.5000  10 Dy 3.54-3.91
Dy 0.5719 0.6494 0.7213  1 Sm 3.02, 1 Er 3.10
Dy 0.9281 0.4281 0.2787  1 Sm 3.02, 1 Er 3.10
Sm 0.3823 0.8823 0.0000  1 Sm 2.87, 2 Dy 3.02
Y 0.7500 0.7500 0.5000  10 Dy 3.54-3.91

Symmetry: No. 140
Crystal system: tetragonal
Formation energy from the elements: 0.281 eV per atom

***

[2]
A plane-wave DFT calculation with PBE was carried out for a geometry-optimized SmDy2Y2Er structure.

Unit cell a=3.3842 b=6.5822 c=17.6994 alpha=90.00 beta=90.00 gamma=90.00
Closest atoms and distances in Å follow each position.
Sites, in units of the cell vectors:
Sm 0.0000 0.0000 0.5000  2 Sm 3.38, 4 Dy 3.47, 4 Er 3.70
Er 0.0000 0.0000 0.0000  2 Dy 3.14, 2 Er 3.38
Sm 0.5000 0.5000 0.0000  2 Sm 3.38, 4 Dy 3.47, 4 Er 3.70
Dy 0.0000 0.7337 0.8525  1 Er 3.14, 4 Y 3.34-3.44, 2 Dy 3.38, 2 Sm 3.47
Y 0.5000 0.2654 0.3170  4 Dy 3.34-3.44, 2 Y 3.38, 1 Er 3.59
Dy 0.0000 0.2663 0.1475  1 Er 3.14, 4 Y 3.34-3.44, 2 Dy 3.38, 2 Sm 3.47
Dy 0.5000 0.7663 0.3525  1 Er 3.14, 4 Y 3.34-3.44, 2 Dy 3.38, 2 Sm 3.47
Er 0.5000 0.5000 0.5000  2 Dy 3.14, 2 Er 3.38
Dy 0.5000 0.2337 0.6475  1 Er 3.14, 4 Y 3.34-3.44, 2 Dy 3.38, 2 Sm 3.47
Y 0.5000 0.7346 0.6830  4 Dy 3.34-3.44, 2 Y 3.38, 1 Er 3.59
Y 0.0000 0.2346 0.8170  4 Dy 3.34-3.44, 2 Y 3.38, 1 Er 3.59
Y 0.0000 0.7654 0.1830  4 Dy 3.34-3.44, 2 Y 3.38, 1 Er 3.59

Symmetry: No. 58
Crystal system: orthorhombic
Formation energy from the elements: 0.268 eV per atom

***

| no. | N(E_F) (states/eV/atom) |
| --- | --- |
| 1 | 1.381 |
| 2 | 1.524 |